A crystal of MgP2WS relaxed with PBEsol. Source: Alexandria, functional SCAN.

Lattice parameters (Å, degrees): 4.561 4.561 4.572 90.00 90.00 90.00
Space group P4/mmm (No. 123)
Inequivalent atoms, fractional coordinates:
1 Mg 0.000 0.000 0.000 [1 per cell]
2 P 0.000 0.500 0.000 [2 per cell]
3 W 0.500 0.500 0.500 [1 per cell]
4 S 0.000 0.000 0.500 [1 per cell]

Summary:
The formation energy from raw total energies is 7.645 eV/f.u. The magnetic moment comes out at 2.776 μB per formula unit.


A crystal of YMgP2S relaxed with PBEsol. Source: Alexandria, functional SCAN.

Lattice parameters (Å, degrees): 5.166 5.166 5.065 90.00 90.00 90.00
Space group P4/mmm (No. 123)
Inequivalent atoms, fractional coordinates:
1 Y 0.000 0.000 0.000 [1 per cell]
2 Mg 0.500 0.500 0.500 [1 per cell]
3 P 0.000 0.500 0.000 [2 per cell]
4 S 0.000 0.000 0.500 [1 per cell]

Summary:
The formation energy from raw total energies is 0.553 eV/f.u. The magnetic moment comes out at 1.108 μB per formula unit.


DOS(E_F), record by record: 4.1; 3.9 states/eV/cell